Record 1
VASP calculation (GGA-PBE) on a relaxed Sc3CoAs2 crystal.

Computed properties:
E_form: -1.028 eV/atom
D(E_F): 0.392 states/eV/atom
volume: 18.24 Å³ per atom
raw total energy: -166.28 eV for the cell shown
spin magnetization: 0.000 μB/f.u.
density: 5.213 g/cm3

abc: 10.4887 3.9237 10.6389
angles: 90.00 90.00 90.00
Space group Pnma (No. 62)
Unique sites:
Sc1 0.0551 0.2500 0.1257 [4 per cell]
Sc2 0.1180 0.7500 0.5567 [4 per cell]
Sc3 0.2205 0.2500 0.8025 [4 per cell]
Co1 0.1325 0.2500 0.3594 [4 per cell]
As1 0.0135 0.7500 0.3102 [4 per cell]
As2 0.1897 0.7500 0.9996 [4 per cell]

Record 2
VASP calculation (GGA-PBE) on a relaxed MgAl2Pt2 crystal.

Computed properties:
E_form: -0.860 eV/atom
D(E_F): 0.333 states/eV/atom
volume: 17.51 Å³ per atom
raw total energy: -50.92 eV for the cell shown
spin magnetization: 0.000 μB/f.u.
density: 8.887 g/cm3
E above lowest polymorph: 28.2 meV/atom

abc: 3.8550 3.8550 11.7795
angles: 90.00 90.00 90.00
Space group I4/mmm (No. 139)
Unique sites:
Mg1 0.0000 0.0000 0.0000 [2 per cell]
Al1 0.0000 0.5000 0.2500 [4 per cell]
Pt1 0.0000 0.0000 0.3861 [4 per cell]